No. 1
A plane-wave DFT calculation with PBE-GGA was carried out for a relaxed BeRu2SeI crystal.

a b c (Å): 4.544 4.544 4.076
angles (deg): 90.00 90.00 90.00
Fractional positions:
Be: 0.000 0.000 0.000
Ru: 0.000 0.500 0.000
Ru: 0.500 0.000 0.000
Se: 0.000 0.000 0.500
I: 0.500 0.500 0.500

## Properties
Formation energy without anion corrections: 888.4 meV/atom
Density of states at the Fermi level: 1.0208 states/eV per atom
Energy: -0.3362 Ry per atom

=====

No. 2
A plane-wave DFT calculation with PBE-GGA was carried out for a relaxed Bi2Pb crystal.

a b c (Å): 6.145 6.145 5.981
angles (deg): 90.00 90.00 121.08
Fractional positions:
Bi: 0.060 0.940 0.750
Bi: 0.268 0.732 0.250
Bi: 0.732 0.268 0.750
Bi: 0.940 0.060 0.250
Pb: 0.396 0.604 0.750
Pb: 0.604 0.396 0.250

## Properties
Density of states at the Fermi level: 0.4136 states/eV per atom
Energy: -0.2764 Ry per atom
Formation enthalpy at 0 K: 62 meV per atom

=====

No. 3
A plane-wave DFT calculation with PBE-GGA was carried out for a relaxed In2NiMo crystal.

a b c (Å): 9.370 9.370 9.370
angles (deg): 18.58 18.58 18.58
Fractional positions:
In: 0.000 0.000 0.000
In: 0.234 0.234 0.234
Ni: 0.744 0.744 0.744
Mo: 0.480 0.480 0.480

## Properties
Density of states at the Fermi level: 0.9267 states/eV per atom
Energy: -0.3818 Ry per atom
Formation enthalpy at 0 K: 327 meV per atom

=====

No. 4
A plane-wave DFT calculation with PBE-GGA was carried out for a relaxed Na2IrF7 crystal.

a b c (Å): 7.173 7.173 9.020
angles (deg): 125.62 125.62 51.06
Fractional positions:
Na: 0.117 0.276 0.287
Na: 0.276 0.117 0.787
Na: 0.724 0.883 0.213
Na: 0.883 0.724 0.713
Ir: 0.367 0.633 0.250
Ir: 0.633 0.367 0.750
F: 0.052 0.948 0.250
F: 0.141 0.540 0.225
F: 0.237 0.575 0.971
F: 0.255 0.507 0.627
F: 0.425 0.763 0.529
F: 0.460 0.859 0.275
F: 0.493 0.745 0.873
F: 0.507 0.255 0.127
F: 0.540 0.141 0.725
F: 0.575 0.237 0.471
F: 0.745 0.493 0.373
F: 0.763 0.425 0.029
F: 0.859 0.460 0.775
F: 0.948 0.052 0.750

## Properties
Formation energy without anion corrections: -1964.7 meV/atom
Energy: -0.3252 Ry per atom

=====

No. 5
A plane-wave DFT calculation with PBE-GGA was carried out for a relaxed Sm2EuEr crystal.

a b c (Å): 5.793 5.793 5.793
angles (deg): 60.00 60.00 60.00
Fractional positions:
Sm: 0.250 0.250 0.250
Sm: 0.750 0.750 0.750
Eu: 0.000 0.000 0.000
Er: 0.500 0.500 0.500

## Properties
Density of states at the Fermi level: 1.6645 states/eV per atom
Energy: -0.4352 Ry per atom
Formation enthalpy at 0 K: 147 meV per atom

=====

No. 6
A plane-wave DFT calculation with PBE-GGA was carried out for a relaxed La2Ho3Er7 crystal.

a b c (Å): 19.155 19.155 3.604
angles (deg): 90.00 90.00 162.99
Fractional positions:
La: 0.147 0.853 0.000
La: 0.853 0.147 0.000
Ho: 0.312 0.688 0.500
Ho: 0.500 0.500 0.500
Ho: 0.688 0.312 0.500
Er: 0.000 0.000 0.000
Er: 0.070 0.930 0.500
Er: 0.231 0.769 0.000
Er: 0.412 0.588 0.000
Er: 0.588 0.412 0.000
Er: 0.769 0.231 0.000
Er: 0.930 0.070 0.500

## Properties
Density of states at the Fermi level: 1.4826 states/eV per atom
Energy: -0.3309 Ry per atom
Formation enthalpy at 0 K: 125 meV per atom

=====

No. 7
A plane-wave DFT calculation with PBE-GGA was carried out for a relaxed GaINF2 crystal.

a b c (Å): 4.882 4.882 4.024
angles (deg): 90.00 90.00 90.00
Fractional positions:
Ga: 0.000 0.000 0.000
I: 0.500 0.500 0.500
N: 0.500 0.500 0.000
F: 0.000 0.500 0.500
F: 0.500 0.000 0.500

## Properties
Formation energy without anion corrections: -49.6 meV/atom
Density of states at the Fermi level: 0.1556 states/eV per atom
Energy: -0.2483 Ry per atom

=====

No. 8
A plane-wave DFT calculation with PBE-GGA was carried out for a relaxed Tb2ErAl2Zn2 crystal.

a b c (Å): 9.422 9.422 9.422
angles (deg): 27.60 27.60 27.60
Fractional positions:
Tb: 0.127 0.127 0.127
Tb: 0.873 0.873 0.873
Er: 0.000 0.000 0.000
Al: 0.266 0.266 0.266
Al: 0.734 0.734 0.734
Zn: 0.396 0.396 0.396
Zn: 0.604 0.604 0.604

## Properties
Density of states at the Fermi level: 0.4767 states/eV per atom
Energy: -0.2734 Ry per atom
Formation enthalpy at 0 K: -311 meV per atom

=====

No. 9
A plane-wave DFT calculation with PBE-GGA was carried out for a relaxed Ac3Nd4Se8 crystal.

a b c (Å): 8.671 8.671 8.601
angles (deg): 119.69 119.69 90.05
Fractional positions:
Ac: 0.000 0.000 0.000
Ac: 0.000 0.500 0.500
Ac: 0.500 0.000 0.500
Nd: 0.000 0.500 0.000
Nd: 0.500 0.000 0.000
Nd: 0.500 0.500 0.000
Nd: 0.500 0.500 0.500
Se: 0.253 0.747 0.500
Se: 0.255 0.745 0.000
Se: 0.256 0.256 0.004
Se: 0.259 0.259 0.510
Se: 0.741 0.741 0.490
Se: 0.744 0.744 0.996
Se: 0.745 0.255 0.000
Se: 0.747 0.253 0.500

## Properties
Formation energy without anion corrections: -1871.8 meV/atom
Density of states at the Fermi level: 0.5121 states/eV per atom
Energy: -0.4280 Ry per atom

=====

No. 10
A plane-wave DFT calculation with PBE-GGA was carried out for a relaxed Ce2DySn crystal.

a b c (Å): 4.611 4.611 5.127
angles (deg): 90.00 90.00 90.00
Fractional positions:
Ce: 0.000 0.500 0.000
Ce: 0.500 0.000 0.000
Dy: 0.000 0.000 0.500
Sn: 0.500 0.500 0.500

## Properties
Density of states at the Fermi level: 2.4483 states/eV per atom
Energy: -0.4056 Ry per atom
Formation enthalpy at 0 K: -401 meV per atom

=====

No. 11
A plane-wave DFT calculation with PBE-GGA was carried out for a relaxed VZnPt crystal.

a b c (Å): 4.321 4.321 2.677
angles (deg): 90.00 90.00 120.00
Fractional positions:
V: 0.000 0.000 0.000
Zn: 0.667 0.333 0.498
Pt: 0.333 0.667 0.502

## Properties
Density of states at the Fermi level: 0.8191 states/eV per atom
Energy: -0.4262 Ry per atom
Formation enthalpy at 0 K: -321 meV per atom

=====

No. 12
A plane-wave DFT calculation with PBE-GGA was carried out for a relaxed AcDy8Y3 crystal.

a b c (Å): 8.531 8.531 6.327
angles (deg): 111.75 111.75 84.08
Fractional positions:
Ac: 0.000 0.000 0.000
Dy: 0.086 0.578 0.669
Dy: 0.171 0.171 0.680
Dy: 0.335 0.335 0.341
Dy: 0.423 0.915 0.006
Dy: 0.578 0.086 0.669
Dy: 0.664 0.664 0.671
Dy: 0.829 0.829 0.337
Dy: 0.915 0.423 0.006
Y: 0.253 0.748 0.343
Y: 0.500 0.500 0.005
Y: 0.748 0.253 0.343

## Properties
Density of states at the Fermi level: 1.8123 states/eV per atom
Energy: -0.3677 Ry per atom
Formation enthalpy at 0 K: 23 meV per atom

=====

No. 13
A plane-wave DFT calculation with PBE-GGA was carried out for a relaxed Nd3Sm8Y crystal.

a b c (Å): 8.806 8.806 8.806
angles (deg): 136.06 98.88 97.21
Fractional positions:
Nd: 0.000 0.000 0.000
Nd: 0.254 0.754 0.500
Nd: 0.746 0.246 0.500
Sm: 0.085 0.251 0.834
Sm: 0.255 0.246 0.501
Sm: 0.255 0.754 0.009
Sm: 0.417 0.251 0.166
Sm: 0.583 0.749 0.834
Sm: 0.745 0.246 0.991
Sm: 0.745 0.754 0.499
Sm: 0.915 0.749 0.166
Y: 0.500 0.500 0.000

## Properties
Density of states at the Fermi level: 1.2935 states/eV per atom
Energy: -0.3365 Ry per atom
Formation enthalpy at 0 K: 298 meV per atom

=====

No. 14
A plane-wave DFT calculation with PBE-GGA was carried out for a relaxed Ta2GeSb2 crystal.

a b c (Å): 7.349 7.349 3.838
angles (deg): 90.00 90.00 90.00
Fractional positions:
Ta: 0.146 0.354 0.000
Ta: 0.354 0.854 0.000
Ta: 0.646 0.146 0.000
Ta: 0.854 0.646 0.000
Ge: 0.000 0.000 0.000
Ge: 0.500 0.500 0.000
Sb: 0.152 0.652 0.500
Sb: 0.348 0.152 0.500
Sb: 0.652 0.848 0.500
Sb: 0.848 0.348 0.500

## Properties
Formation energy without anion corrections: 147.4 meV/atom
Density of states at the Fermi level: 0.1109 states/eV per atom
Energy: -0.5267 Ry per atom

=====

No. 15
A plane-wave DFT calculation with PBE-GGA was carried out for a relaxed Sc4Fe crystal.

a b c (Å): 8.586 8.586 8.586
angles (deg): 154.85 154.85 35.86
Fractional positions:
Sc: 0.085 0.085 0.000
Sc: 0.250 0.750 0.500
Sc: 0.750 0.250 0.500
Sc: 0.915 0.915 0.000
Fe: 0.500 0.500 0.000

## Properties
Density of states at the Fermi level: 1.2091 states/eV per atom
Energy: -0.4553 Ry per atom
Formation enthalpy at 0 K: 562 meV per atom

=====

No. 16
A plane-wave DFT calculation with PBE-GGA was carried out for a relaxed Rb3TcRh3Se8 crystal.

a b c (Å): 7.692 7.692 8.868
angles (deg): 115.76 115.76 59.98
Fractional positions:
Rb: 0.000 0.000 0.000
Rb: 0.000 0.500 0.000
Rb: 0.500 0.000 0.000
Tc: 0.000 0.000 0.500
Rh: 0.000 0.500 0.500
Rh: 0.500 0.000 0.500
Rh: 0.500 0.500 0.500
Se: 0.226 0.226 0.667
Se: 0.226 0.716 0.667
Se: 0.280 0.280 0.341
Se: 0.284 0.774 0.333
Se: 0.716 0.226 0.667
Se: 0.720 0.720 0.659
Se: 0.774 0.284 0.333
Se: 0.774 0.774 0.333

## Properties
Formation energy without anion corrections: -591.1 meV/atom
Density of states at the Fermi level: 0.3373 states/eV per atom
Energy: -0.3531 Ry per atom

=====

No. 17
A plane-wave DFT calculation with PBE-GGA was carried out for a relaxed LaBe2TlIn crystal.

a b c (Å): 4.667 4.667 5.757
angles (deg): 90.00 90.00 90.00
Fractional positions:
La: 0.000 0.000 0.000
Be: 0.000 0.500 0.500
Be: 0.500 0.000 0.500
Tl: 0.500 0.500 0.000
In: 0.500 0.500 0.500

## Properties
Density of states at the Fermi level: 0.5397 states/eV per atom
Energy: -0.2163 Ry per atom
Formation enthalpy at 0 K: 555 meV per atom

=====

No. 18
A plane-wave DFT calculation with PBE-GGA was carried out for a relaxed Li2CdSO4 crystal.

a b c (Å): 5.374 5.374 5.374
angles (deg): 104.85 104.85 119.17
Fractional positions:
Li: 0.000 0.000 0.000
Li: 0.750 0.250 0.500
Cd: 0.250 0.750 0.500
S: 0.500 0.500 0.000
O: 0.150 0.331 0.820
O: 0.511 0.331 0.180
O: 0.669 0.489 0.820
O: 0.669 0.850 0.180

## Properties
Formation energy without anion corrections: -1401.8 meV/atom
Density of states at the Fermi level: 0.0000 states/eV per atom
Energy: -0.3667 Ry per atom